Record 1
Computed, not measured: crystalline TaCuNiRh at its relaxed geometry at the PBE level of DFT.

abc: 4.2819 4.2819 4.2819
angles: 60.00 60.00 60.00
Sites, in units of the cell vectors:
Ni 0.2500 0.2500 0.2500
Cu 0.5000 0.5000 0.5000
Rh 0.7500 0.7500 0.7500
Ta 0.0000 0.0000 0.0000

Properties
Crystal system: cubic
Energy above the lowest structure with this stoichiometry, meV per atom: 108
ΔH_f (0 K), eV per atom: -0.2406
Symmetry: F-43m

Record 2
Computed, not measured: crystalline CuNi2TeRh at its relaxed geometry at the PBE level of DFT.

abc: 4.5969 4.9143 4.5969
angles: 90.00 90.00 90.00
Last column: magnetic moment on the atom in μB.
Sites, in units of the cell vectors:
Cu 0.5000 0.5000 0.5000  -0.01
Rh 0.0000 0.0000 0.0000  0.54
Ni 0.0000 0.0000 0.5000  1.15
Ni 0.5000 0.0000 0.0000  0.57
Te 0.0000 0.5000 0.0000  0.00

Properties
Crystal system: tetragonal
Uncorrected formation energy, eV per atom: 1.02
Symmetry: P4/mmm

Record 3
Computed, not measured: crystalline CuNiTeRh at its relaxed geometry at the PBE level of DFT.

abc: 4.3718 4.3718 4.3718
angles: 60.00 60.00 60.00
Sites, in units of the cell vectors:
Rh 0.0000 0.0000 0.0000
Cu 0.2500 0.2500 0.2500
Ni 0.5000 0.5000 0.5000
Te 0.7500 0.7500 0.7500

Properties
Crystal system: cubic
Uncorrected formation energy, eV per atom: 0.02
Symmetry: F-43m

Record 4
Computed, not measured: crystalline Th2CuNiRh at its relaxed geometry at the PBE level of DFT.

abc: 4.3739 6.9207 7.1447
angles: 106.99 90.00 90.00
Sites, in units of the cell vectors:
Rh 0.7500 0.4480 0.3324
Cu 0.7500 0.3310 0.6614
Rh 0.2500 0.5520 0.6676
Ni 0.2500 0.9024 0.9419
Th 0.2500 0.2985 0.9317
Cu 0.2500 0.6690 0.3386
Ni 0.7500 0.0976 0.0581
Th 0.7500 0.8401 0.6409
Th 0.7500 0.7015 0.0683
Th 0.2500 0.1599 0.3591

Properties
Crystal system: monoclinic
ΔH_f (0 K), eV per atom: -0.4296
Symmetry: P2_1/m

Record 5
Computed, not measured: crystalline TiCuNiRh at its relaxed geometry at the PBE level of DFT.

abc: 3.5078 3.7570 3.9488
angles: 90.00 90.00 90.00
Sites, in units of the cell vectors:
Cu 0.5000 0.0000 0.5000
Ti 0.5000 0.5000 0.0000
Rh 0.0000 0.0000 0.0000
Ni 0.0000 0.5000 0.5000

Properties
Crystal system: orthorhombic
ΔH_f (0 K), eV per atom: -0.4766
Symmetry: Pmmm

Record 6
Computed, not measured: crystalline TlCuNiRh at its relaxed geometry at the PBE level of DFT.

abc: 4.3881 4.3881 4.3881
angles: 60.00 60.00 60.00
Sites, in units of the cell vectors:
Tl 0.7500 0.7500 0.7500
Rh 0.0000 0.0000 0.0000
Cu 0.2500 0.2500 0.2500
Ni 0.5000 0.5000 0.5000

Properties
Crystal system: cubic
ΔH_f (0 K), eV per atom: 0.1405
Symmetry: F-43m

Record 7
Computed, not measured: crystalline TmCuNiRh at its relaxed geometry at the PBE level of DFT.

abc: 4.4316 4.4316 4.4316
angles: 60.00 60.00 60.00
Sites, in units of the cell vectors:
Cu 0.2500 0.2500 0.2500
Rh 0.0000 0.0000 0.0000
Tm 0.7500 0.7500 0.7500
Ni 0.5000 0.5000 0.5000

Properties
Crystal system: cubic
ΔH_f (0 K), eV per atom: -0.3483
Symmetry: F-43m

Record 8
Computed, not measured: crystalline VCu2NiRh at its relaxed geometry at the PBE level of DFT.

abc: 4.6173 4.6173 4.3404
angles: 90.00 90.00 90.00
Last column: magnetic moment on the atom in μB.
Sites, in units of the cell vectors:
V 0.0000 0.0000 0.5000  0.15
Ni 0.5000 0.5000 0.5000  0.59
Cu 0.0000 0.5000 0.0000  0.01
Rh 0.0000 0.0000 0.0000  0.00
Cu 0.5000 0.0000 0.0000  0.01

Properties
Crystal system: tetragonal
ΔH_f (0 K), eV per atom: 1.2503
Symmetry: P4/mmm